This record from Alexandria describes a relaxed Pr8As4SeS3 crystal. The functional is PBE-GGA.

Output
- Raw formation energy: -1.77 eV/atom
- D(E_F): 18.1 states/eV/cell
- Theoretical density: 6.2 g/cm³
- Total magnetization: 0.0 Bohr magnetons per cell
- Calculated volume: 429.5 Å³/f.u.

Unit cell a=8.4834 b=8.4834 c=20.6721 alpha=90.00 beta=90.00 gamma=120.00
Space group R-3m (No. 166, hexagonal axes)
Unique sites:
Pr (0.0000, 0.0000, 0.2503) x6
Pr (0.0045, 0.5022, 0.2493) x18
As (0.0000, 0.0000, 0.5000) x3
As (0.0000, 0.5000, 0.5000) x9
Se (0.0000, 0.0000, 0.0000) x3
S (0.0000, 0.5000, 0.0000) x9